1.
PBE ReP4Pt, optimized geometry; size of the total moment = 0.00 μB/f.u.
1.0
0.0000 3.4869 3.4869
3.4869 0.0000 3.4869
3.4869 3.4869 0.0000
Re P Pt
1 4 1
Direct
0.0000 0.0000 0.0000
0.1232 0.6256 0.6256
0.6256 0.1232 0.6256
0.6256 0.6256 0.1232
0.6256 0.6256 0.6256
0.2500 0.2500 0.2500

2.
PBE TiSnOs2, optimized geometry; size of the total moment = 0.00 μB/f.u.
1.0
4.5935 -2.0354 0.0000
4.5935 2.0354 0.0000
-3.3882 0.0000 6.9914
Ti Sn Os
2 2 4
Direct
0.0000 0.0000 0.0000
0.0046 0.0046 0.4505
0.5230 0.5230 0.7529
0.7517 0.7517 0.5787
0.2479 0.2479 0.3250
0.2539 0.2539 0.8433
0.4954 0.4954 0.2129
0.7611 0.7611 0.1248

3.
PBE K2MgPtCl6, optimized geometry; formation energy (no corrections) = -1.323 eV per atom; size of the total moment = 1.92 μB/f.u.
1.0
3.5577 2.0540 12.1243
-3.5577 2.0540 12.1243
0.0000 -4.1080 12.1243
K Mg Pt Cl
4 2 2 12
Direct
0.1200 0.1200 0.1200
0.2985 0.2985 0.2985
0.7015 0.7015 0.7015
0.8800 0.8800 0.8800
0.4153 0.4153 0.4153
0.5847 0.5847 0.5847
0.0000 0.0000 0.0000
0.5000 0.5000 0.5000
0.1326 0.6187 0.6187
0.2084 0.2084 0.7064
0.2084 0.7064 0.2084
0.2936 0.7916 0.7916
0.3813 0.3813 0.8674
0.3813 0.8674 0.3813
0.6187 0.1326 0.6187
0.6187 0.6187 0.1326
0.7064 0.2084 0.2084
0.7916 0.2936 0.7916
0.7916 0.7916 0.2936
0.8674 0.3813 0.3813

4.
PBE Ac2GaSn3Ir4, optimized geometry; size of the total moment = 0.00 μB/f.u.
1.0
4.5068 0.0000 0.0000
0.0000 4.5068 0.0000
0.0000 0.0000 11.0285
Ac Ga Sn Ir
2 1 3 4
Direct
0.0000 0.5000 0.2446
0.5000 0.0000 0.7554
0.5000 0.5000 0.0000
0.0000 0.0000 0.0000
0.0000 0.5000 0.6302
0.5000 0.0000 0.3698
0.0000 0.0000 0.5000
0.0000 0.5000 0.8722
0.5000 0.0000 0.1278
0.5000 0.5000 0.5000

no.,mass density (Mg/m³),total DFT energy (no corrections) (eV/atom),N(E_F) (states/eV/f.u.)
1,9.9,-5.81,3.30
2,13.9,-8.67,2.16
3,3.2,-3.41,2.18
4,12.2,-6.46,7.08